The following is a DFT calculation (meta-GGA SCAN) of LuFe10Si2 at its PBEsol-relaxed geometry.

Output
M_tot = 21.91 μB/f.u.
VASP energy = -1.462 Ry per atom
E_form (uncorrected) = -0.15 eV per atom
SG = Fmmm, No. 69

Cell lengths 4.6953, 6.1437, 6.1492 Å; angles 81.61, 67.56, 67.53 degrees
Last column: nearest neighbours and their distance in Å.
Sites, in units of the cell vectors:
1 Fe 0.2810 0.2189 0.2190  8 Fe 2.34-2.60, 2 Si 2.34
2 Fe 0.6422 0.3584 0.3572  5 Fe 2.28-2.54, 2 Si 2.48
3 Fe 0.5000 0.7811 0.2190  8 Fe 2.34-2.60, 2 Si 2.34
4 Fe 0.7190 0.7811 0.7810  8 Fe 2.34-2.60, 2 Si 2.34
5 Fe 0.9994 0.3584 0.6428  5 Fe 2.28-2.54, 2 Si 2.48
6 Fe 0.3578 0.6416 0.6428  5 Fe 2.28-2.54, 2 Si 2.48
7 Fe 0.5000 0.0000 0.5000  10 Fe 2.34-2.49
8 Si 0.5000 0.5000 0.0000  8 Fe 2.34-2.48, 2 Si 2.35
9 Fe 0.0000 0.0000 0.5000  10 Fe 2.34-2.49
10 Fe 0.5000 0.2189 0.7810  8 Fe 2.34-2.60, 2 Si 2.34
11 Si 0.0000 0.5000 0.0000  8 Fe 2.34-2.48, 2 Si 2.35
12 Lu 0.0000 0.0000 0.0000  16 Fe 2.87-3.07, 4 Si 3.07
13 Fe 0.0006 0.6416 0.3572  5 Fe 2.28-2.54, 2 Si 2.48